A plane-wave DFT calculation with PBE was carried out for a relaxed structure of Na2YHg2.

The calculation puts the uncorrected energy at -2.05 eV per atom. The calculation puts the energy above the most stable polymorph in this dataset at 0.0513 eV/atom. As for the formation energy: -113 meV/atom. The density comes out at 7.08 g/cm³.

The space group is P4/mbm (No. 127) and the conventional cell measures 8.590, 8.590 and 3.409 Å, with angles of 90.00, 90.00 and 90.00 degrees. The asymmetric unit holds Na at (0.115, 0.385, 0.000), Y at (0.000, 0.000, 0.000) and Hg at (0.188, 0.688, 0.500).



A plane-wave DFT calculation with PBE was carried out for a relaxed structure of Pm7Y4Sc.

The calculation puts the uncorrected energy at -5.20 eV per atom. The calculation puts the energy above the most stable polymorph in this dataset at 0.2301 eV/atom. As for the formation energy: 256 meV/atom. The density comes out at 5.78 g/cm³.

The space group is C2/m (No. 12) and the conventional cell measures 11.971, 5.969 and 12.769 Å, with angles of 90.00, 117.01 and 90.00 degrees. The asymmetric unit holds Pm at (0.000, 0.000, 0.000), Pm at (0.135, 0.500, 0.504), Pm at (0.217, 0.000, 0.924), Pm at (0.231, 0.500, 0.303), Y at (0.050, 0.000, 0.331), Y at (0.131, 0.500, 0.777) and Sc at (0.000, 0.500, 0.000).



A plane-wave DFT calculation with PBE was carried out for a relaxed structure of WSeCl.

The calculation puts the uncorrected energy at -6.06 eV per atom. The calculation puts the energy above the most stable polymorph in this dataset at 0.5223 eV/atom. The value obtained for the formation energy (no corrections) is 0.039 eV per atom. The density comes out at 7.33 g/cm³.

The space group is Pm (No. 6) and the conventional cell measures 3.207, 4.746 and 4.683 Å, with angles of 90.00, 108.65 and 90.00 degrees. The asymmetric unit holds W at (0.000, 0.000, 0.000), Se at (0.695, 0.000, 0.418) and Cl at (0.984, 0.500, 0.948).



A plane-wave DFT calculation with PBE was carried out for a relaxed structure of Pr3Zn2Ru3C.

The calculation puts the uncorrected energy at -5.94 eV per atom. As for the formation energy: 57 meV/atom. The density comes out at 8.37 g/cm³.

The space group is P-62m (No. 189) and the conventional cell measures 7.6045, 7.6045 and 3.4429 Å, with angles of 90.00, 90.00 and 120.00 degrees. The asymmetric unit holds Pr at (0.0000, 0.6386, 0.0000), Zn at (0.3333, 0.6667, 0.5000), Ru at (0.0000, 0.2092, 0.5000) and C at (0.0000, 0.0000, 0.0000).



A plane-wave DFT calculation with PBE was carried out for a relaxed structure of NaScH3.

The calculation puts the uncorrected energy at -3.84 eV per atom. The calculation puts the energy above the most stable polymorph in this dataset at 0.0000 eV/atom. The density comes out at 1.94 g/cm³.

The space group is Pm-3m (No. 221) and the conventional cell measures 3.934, 3.934 and 3.934 Å, with angles of 90.00, 90.00 and 90.00 degrees. The asymmetric unit holds Na at (0.000, 0.000, 0.000), Sc at (0.500, 0.500, 0.500) and H at (0.000, 0.500, 0.500).



A plane-wave DFT calculation with PBE was carried out for a relaxed structure of Ho3BTe2.

The calculation puts the uncorrected energy at -5.42 eV per atom. The value obtained for the formation energy (no corrections) is -0.974 eV per atom. The density comes out at 8.20 g/cm³.

The space group is Fddd (No. 70, origin choice 2) and the conventional cell measures 8.492, 11.810 and 24.572 Å, with angles of 90.00, 90.00 and 90.00 degrees. The asymmetric unit holds Ho at (0.074, 0.375, 0.375), Ho at (0.102, 0.353, 0.218), B at (0.125, 0.125, 0.041), Te at (0.125, 0.125, 0.381) and Te at (0.125, 0.125, 0.547).



A plane-wave DFT calculation with PBE was carried out for a relaxed structure of Ca2Ag2Au.

The calculation puts the uncorrected energy at -2.84 eV per atom. The calculation puts the energy above the most stable polymorph in this dataset at 0.2091 eV/atom. As for the formation energy: -244 meV/atom. The density comes out at 6.13 g/cm³.

The space group is I4/mmm (No. 139) and the conventional cell measures 5.759, 5.759 and 8.048 Å, with angles of 90.00, 90.00 and 90.00 degrees. The asymmetric unit holds Ca at (0.000, 0.500, 0.250), Ag at (0.000, 0.000, 0.161) and Au at (0.000, 0.000, 0.500).



A plane-wave DFT calculation with PBE was carried out for a relaxed structure of LaNdSnPb.

The calculation puts the uncorrected energy at -5.03 eV per atom. The calculation puts the energy above the most stable polymorph in this dataset at 0.0000 eV/atom. As for the formation energy: -683 meV/atom. The density comes out at 7.90 g/cm³.

The space group is Amm2 (No. 38) and the conventional cell measures 4.493, 4.754 and 11.990 Å, with angles of 90.00, 90.00 and 90.00 degrees. The asymmetric unit holds La at (0.000, 0.000, 0.000), Nd at (0.500, 0.000, 0.731), Sn at (0.000, 0.000, 0.272) and Pb at (0.500, 0.000, 0.455).



A plane-wave DFT calculation with PBE was carried out for a relaxed structure of MgOsRh2.

The calculation puts the uncorrected energy at -6.89 eV per atom. As for the formation energy: -11 meV/atom. The density comes out at 11.87 g/cm³.

The space group is C2/m (No. 12) and the conventional cell measures 9.008, 2.719 and 4.846 Å, with angles of 90.00, 97.82 and 90.00 degrees. The asymmetric unit holds Mg at (0.000, 0.000, 0.000), Os at (0.000, 0.500, 0.500) and Rh at (0.245, 0.000, 0.740).



A plane-wave DFT calculation with PBE was carried out for a relaxed structure of BaO.

The calculation puts the uncorrected energy at -5.83 eV per atom. The value obtained for the formation energy (no corrections) is -2.385 eV per atom. The density comes out at 3.84 g/cm³.

The space group is P6_3/m (No. 176) and the conventional cell measures 10.1473, 10.1473 and 4.4565 Å, with angles of 90.00, 90.00 and 120.00 degrees. The asymmetric unit holds Ba at (0.0792, 0.6742, 0.2500) and O at (0.0747, 0.4154, 0.2500).



A plane-wave DFT calculation with PBE was carried out for a relaxed structure of RbPm2Br6.

The calculation puts the uncorrected energy at -4.04 eV per atom. The value obtained for the formation energy (no corrections) is -1.759 eV per atom. The density comes out at 3.74 g/cm³.

The space group is P-31m (No. 162) and the conventional cell measures 7.3813, 7.3813 and 8.0372 Å, with angles of 90.00, 90.00 and 120.00 degrees. The asymmetric unit holds Rb at (0.0000, 0.0000, 0.0000), Pm at (0.3333, 0.6667, 0.5000) and Br at (0.0000, 0.3600, 0.7153).



A plane-wave DFT calculation with PBE was carried out for a relaxed structure of HfCr3Ge.

The calculation puts the uncorrected energy at -7.82 eV per atom. The calculation puts the energy above the most stable polymorph in this dataset at 0.0000 eV/atom. As for the formation energy: 868 meV/atom. The density comes out at 7.65 g/cm³.

The space group is Pm-3m (No. 221) and the conventional cell measures 4.454, 4.454 and 4.454 Å, with angles of 90.00, 90.00 and 90.00 degrees. The asymmetric unit holds Hf at (0.000, 0.000, 0.000), Cr at (0.000, 0.500, 0.500) and Ge at (0.500, 0.500, 0.500).